Record 1
# GGA-PBE Pm5Y12Tl2, relaxed
data_Pm5Y12Tl2
_chemical_formula_sum 'Pm5 Y12 Tl2'
_space_group_name_H-M_alt 'P 1'
_space_group_IT_number 1
_cell_length_a 9.5250
_cell_length_b 12.1703
_cell_length_c 8.3759
_cell_angle_alpha 131.77
_cell_angle_beta 90.00
_cell_angle_gamma 113.04
loop_
_space_group_symop_operation_xyz
'x,y,z'
loop_
_atom_site_label
_atom_site_fract_x
_atom_site_fract_y
_atom_site_fract_z
Y1 0.8205 0.2516 0.5902
Y2 0.0806 0.1612 0.2817
Y3 0.1795 0.7484 0.4098
Y4 0.9638 0.2944 0.0620
Y5 0.5523 0.1045 0.7868
Y6 0.6694 0.7056 0.9380
Y7 0.0362 0.7056 0.9380
Y8 0.5689 0.7484 0.4098
Y9 0.3306 0.2944 0.0620
Y10 0.9194 0.8388 0.7183
Y11 0.4477 0.8955 0.2132
Y12 0.4311 0.2516 0.5902
Pm1 0.6889 0.3779 0.3720
Pm2 0.2343 0.4685 0.8886
Pm3 0.7657 0.5315 0.1114
Pm4 0.0000 0.0000 0.5000
Pm5 0.3111 0.6221 0.6280
Tl1 0.6887 0.0000 0.0000
Tl2 0.3113 0.0000 0.0000
# Total moment ... 0.00 Bohr magnetons per cell
# DFT total energy ... -5.576 eV per atom
# Energy relative to the elements ... 0.107 eV per formula unit



Record 2
# GGA-PBE KRhI2, relaxed
data_KRhI2
_chemical_formula_sum 'K1 Rh1 I2'
_space_group_name_H-M_alt 'P 1'
_space_group_IT_number 1
_cell_length_a 5.5171
_cell_length_b 5.5171
_cell_length_c 5.5171
_cell_angle_alpha 60.00
_cell_angle_beta 60.00
_cell_angle_gamma 60.00
loop_
_space_group_symop_operation_xyz
'x,y,z'
loop_
_atom_site_label
_atom_site_fract_x
_atom_site_fract_y
_atom_site_fract_z
I1 0.2500 0.2500 0.2500
I2 0.7500 0.7500 0.7500
K1 0.0000 0.0000 0.0000
Rh1 0.5000 0.5000 0.5000
# Total moment ... 2.00 Bohr magnetons per cell
# DFT total energy ... -2.902 eV per atom
# Formation energy (no corrections) ... -0.015 eV/atom
# Polymorph energy (0 for the lowest one) ... 0.349 eV per atom



Record 3
# GGA-PBE Ac2MnGaPt6, relaxed
data_Ac2MnGaPt6
_chemical_formula_sum 'Ac2 Mn1 Ga1 Pt6'
_space_group_name_H-M_alt 'P 1'
_space_group_IT_number 1
_cell_length_a 5.5749
_cell_length_b 8.5874
_cell_length_c 6.7603
_cell_angle_alpha 51.61
_cell_angle_beta 65.65
_cell_angle_gamma 89.99
loop_
_space_group_symop_operation_xyz
'x,y,z'
loop_
_atom_site_label
_atom_site_fract_x
_atom_site_fract_y
_atom_site_fract_z
Pt1 0.7547 0.2552 0.9891
Pt2 0.2493 0.3923 0.5008
Pt3 0.7436 0.7446 0.0113
Pt4 0.7507 0.6077 0.4992
Pt5 0.2453 0.7448 0.0109
Pt6 0.2564 0.2554 0.9887
Mn1 0.0000 0.0000 0.0000
Ac1 0.7472 0.2044 0.5053
Ac2 0.2528 0.7956 0.4947
Ga1 0.5000 0.5000 0.0000
# Total moment ... 4.12 Bohr magnetons per cell
# DFT total energy ... -6.482 eV per atom
# Energy relative to the elements ... -8.161 eV per formula unit



Record 4
# GGA-PBE Sm2HfN3, relaxed
data_Sm2HfN3
_chemical_formula_sum 'Sm2 Hf1 N3'
_space_group_name_H-M_alt 'P 1'
_space_group_IT_number 1
_cell_length_a 3.4682
_cell_length_b 3.4682
_cell_length_c 7.7154
_cell_angle_alpha 103.00
_cell_angle_beta 103.00
_cell_angle_gamma 89.96
loop_
_space_group_symop_operation_xyz
'x,y,z'
loop_
_atom_site_label
_atom_site_fract_x
_atom_site_fract_y
_atom_site_fract_z
N1 0.5855 0.5869 0.1765
N2 0.9342 0.9358 0.8740
N3 0.2830 0.2844 0.5714
Sm1 0.0971 0.0986 0.1998
Sm2 0.7713 0.7728 0.5481
Hf1 0.4343 0.4357 0.8740
# Total moment ... 0.00 Bohr magnetons per cell
# DFT total energy ... -8.917 eV per atom
# Formation energy (no corrections) ... -1.522 eV/atom